PrTlSn2: relaxed, PBE.

ΔH_f (0 K)	-1.86	eV per formula unit
space-group type	P4/mmm, No. 123
E	-4.2524	eV/atom
M_tot	0.00	μB/cell
DOS at the Fermi energy	1.36	states/eV/f.u.

Unit cell a=4.9093 b=4.7638 c=4.7638 alpha=90.00 beta=90.00 gamma=90.00
Closest atoms and distances in Å follow each position.
Fractional coordinates of all 4 atoms:
Sn: 0.0000 0.0000 0.5000  4 Sn 3.37, 4 Pr 3.42, 4 Tl 3.42
Sn: 0.0000 0.5000 0.0000  4 Sn 3.37, 4 Tl 3.42, 4 Pr 3.42
Pr: 0.5000 0.5000 0.5000  4 Tl 3.37, 8 Sn 3.42
Tl: 0.5000 0.0000 0.0000  4 Pr 3.37, 8 Sn 3.42

---

Pr5Tl3Sn: relaxed, PBE.

ΔH_f (0 K)	-3.78	eV per formula unit
space-group type	P6_3/mcm, No. 193
E	-4.3089	eV/atom
M_tot	0.52	μB/cell
DOS at the Fermi energy	11.74	states/eV/f.u.

Unit cell a=6.7179 b=9.8666 c=9.8658 alpha=120.00 beta=90.00 gamma=90.00
Closest atoms and distances in Å follow each position.
Fractional coordinates of all 18 atoms:
Pr: 0.2500 0.2754 0.2754  2 Sn 3.19, 5 Tl 3.37-3.52
Pr: 0.7500 0.0000 0.2754  2 Sn 3.19, 5 Tl 3.37-3.52
Pr: 0.2500 0.0000 0.7246  2 Sn 3.19, 5 Tl 3.37-3.52
Pr: 0.5000 0.3334 0.6667  2 Pr 3.36, 6 Tl 3.51
Pr: 0.7500 0.7246 0.7246  2 Sn 3.19, 5 Tl 3.37-3.52
Pr: 0.0000 0.3334 0.6667  2 Pr 3.36, 6 Tl 3.51
Pr: 0.5000 0.6666 0.3333  2 Pr 3.36, 6 Tl 3.51
Pr: 0.0000 0.6666 0.3333  2 Pr 3.36, 6 Tl 3.51
Pr: 0.2500 0.7246 0.0000  2 Sn 3.19, 5 Tl 3.37-3.52
Pr: 0.7500 0.2754 0.0000  2 Sn 3.19, 5 Tl 3.37-3.52
Sn: 0.5000 0.0000 0.0000  6 Pr 3.19, 2 Sn 3.36
Sn: 0.0000 0.0000 0.0000  6 Pr 3.19, 2 Sn 3.36
Tl: 0.2500 0.3816 0.0000  9 Pr 3.37-3.52
Tl: 0.2500 0.6185 0.6184  9 Pr 3.37-3.52
Tl: 0.7500 0.3815 0.3816  9 Pr 3.37-3.52
Tl: 0.2500 0.0000 0.3816  9 Pr 3.37-3.52
Tl: 0.7500 0.0000 0.6184  9 Pr 3.37-3.52
Tl: 0.7500 0.6184 0.0000  9 Pr 3.37-3.52

---

Pr5TlSn3: relaxed, PBE.

ΔH_f (0 K)	-5.75	eV per formula unit
space-group type	P6_3/mcm, No. 193
E	-4.8918	eV/atom
M_tot	0.00	μB/cell
DOS at the Fermi energy	11.56	states/eV/f.u.

Unit cell a=6.7713 b=9.7359 c=9.7358 alpha=120.00 beta=90.00 gamma=90.00
Closest atoms and distances in Å follow each position.
Fractional coordinates of all 18 atoms:
Sn: 0.7500 0.3732 0.3732  9 Pr 3.28-3.51
Sn: 0.7500 0.6268 0.0000  9 Pr 3.28-3.51
Sn: 0.2500 0.3732 0.0000  9 Pr 3.28-3.51
Sn: 0.7500 0.0000 0.6268  9 Pr 3.28-3.51
Sn: 0.2500 0.0000 0.3732  9 Pr 3.28-3.51
Sn: 0.2500 0.6268 0.6268  9 Pr 3.28-3.51
Pr: 0.2500 0.0000 0.7168  2 Tl 3.24, 5 Sn 3.28-3.50
Pr: 0.2500 0.2832 0.2832  2 Tl 3.24, 5 Sn 3.28-3.50
Pr: 0.7500 0.0000 0.2832  2 Tl 3.24, 5 Sn 3.28-3.50
Pr: 0.5000 0.6667 0.3333  2 Pr 3.39, 6 Sn 3.51
Pr: 0.0000 0.6667 0.3333  2 Pr 3.39, 6 Sn 3.51
Pr: 0.7500 0.7168 0.7168  2 Tl 3.24, 5 Sn 3.28-3.50
Pr: 0.0000 0.3333 0.6667  2 Pr 3.39, 6 Sn 3.51
Pr: 0.7500 0.2832 0.0000  2 Tl 3.24, 5 Sn 3.28-3.50
Pr: 0.2500 0.7168 0.0000  2 Tl 3.24, 5 Sn 3.28-3.50
Pr: 0.5000 0.3333 0.6667  2 Pr 3.39, 6 Sn 3.51
Tl: 0.0000 0.0000 0.0000  6 Pr 3.24, 2 Tl 3.39
Tl: 0.5000 0.0000 0.0000  6 Pr 3.24, 2 Tl 3.39

---

Pr4Tl2Sn: relaxed, PBE.

ΔH_f (0 K)	-3.05	eV per formula unit
space-group type	I-42d, No. 122
E	-4.4149	eV/atom
M_tot	0.00	μB/cell
DOS at the Fermi energy	7.41	states/eV/f.u.

Unit cell a=8.3895 b=8.3927 c=8.3932 alpha=109.52 beta=109.49 gamma=109.44
Closest atoms and distances in Å follow each position.
Fractional coordinates of all 14 atoms:
Pr: 0.3709 0.4781 0.2494  2 Sn 3.23-3.45, 4 Tl 3.24-3.49
Pr: 0.0213 0.2720 0.3930  2 Sn 3.23-3.45, 4 Tl 3.24-3.49
Pr: 0.3716 0.9786 0.2505  2 Sn 3.23-3.45, 4 Tl 3.24-3.49
Pr: 0.5220 0.7713 0.8929  2 Sn 3.23-3.45, 4 Tl 3.24-3.49
Pr: 0.8785 0.6291 0.1072  2 Sn 3.23-3.45, 4 Tl 3.24-3.49
Pr: 0.2285 0.1216 0.7504  2 Sn 3.23-3.45, 4 Tl 3.24-3.49
Pr: 0.8792 0.6285 0.6073  2 Sn 3.23-3.45, 4 Tl 3.24-3.50
Pr: 0.7280 0.1209 0.7494  2 Sn 3.23-3.45, 4 Tl 3.24-3.49
Tl: 0.7469 0.8750 0.3718  8 Pr 3.24-3.50
Tl: 0.5031 0.3748 0.6280  8 Pr 3.24-3.49
Tl: 0.1250 0.4968 0.8718  8 Pr 3.24-3.49
Tl: 0.6249 0.2532 0.1281  8 Pr 3.24-3.49
Sn: 0.9999 0.0001 0.0000  8 Pr 3.23-3.45
Sn: 0.2501 0.7500 0.5001  8 Pr 3.23-3.45

---

Pr2TlSn: relaxed, PBE.

ΔH_f (0 K)	-2.20	eV per formula unit
space-group type	P4/mmm, No. 123
E	-4.5327	eV/atom
M_tot	0.00	μB/cell
DOS at the Fermi energy	2.85	states/eV/f.u.

Unit cell a=4.4461 b=5.1828 c=5.1828 alpha=90.00 beta=90.00 gamma=90.00
Closest atoms and distances in Å follow each position.
Fractional coordinates of all 4 atoms:
Tl: 0.5000 0.5000 0.5000  8 Pr 3.41, 4 Sn 3.66
Sn: 0.5000 0.0000 0.0000  8 Pr 3.41, 4 Tl 3.66
Pr: 0.0000 0.5000 0.0000  4 Tl 3.41, 4 Sn 3.41, 4 Pr 3.66
Pr: 0.0000 0.0000 0.5000  4 Tl 3.41, 4 Sn 3.41, 4 Pr 3.66

---

Pr6TlSn: relaxed, PBE.

ΔH_f (0 K)	-2.69	eV per formula unit
space-group type	P4/mmm, No. 123
E	-4.7168	eV/atom
M_tot	0.00	μB/cell
DOS at the Fermi energy	11.59	states/eV/f.u.

Unit cell a=5.0159 b=5.0159 c=10.0129 alpha=90.00 beta=90.00 gamma=90.00
Closest atoms and distances in Å follow each position.
Fractional coordinates of all 8 atoms:
Pr: 0.5000 0.5000 0.0000  4 Tl 3.55, 8 Pr 3.57
Pr: 0.0000 0.5000 0.2537  2 Sn 3.52, 8 Pr 3.52-3.57, 2 Tl 3.57
Pr: 0.0000 0.5000 0.7463  2 Sn 3.52, 8 Pr 3.52-3.57, 2 Tl 3.57
Pr: 0.5000 0.5000 0.5000  8 Pr 3.52, 4 Sn 3.55
Pr: 0.5000 0.0000 0.2537  2 Sn 3.52, 8 Pr 3.52-3.57, 2 Tl 3.57
Pr: 0.5000 0.0000 0.7463  2 Sn 3.52, 8 Pr 3.52-3.57, 2 Tl 3.57
Sn: 0.0000 0.0000 0.5000  12 Pr 3.52-3.55
Tl: 0.0000 0.0000 0.0000  12 Pr 3.55-3.57

---

Pr7Tl2Sn: relaxed, PBE.

ΔH_f (0 K)	-1.93	eV per formula unit
space-group type	P3m1, No. 156
E	-4.4124	eV/atom
M_tot	0.20	μB/cell
DOS at the Fermi energy	14.78	states/eV/f.u.

Unit cell a=5.5242 b=5.5242 c=13.0465 alpha=90.00 beta=90.00 gamma=120.00
Closest atoms and distances in Å follow each position.
Fractional coordinates of all 10 atoms:
Pr: 0.0000 0.0000 0.7278  3 Tl 3.20, 1 Sn 3.52
Pr: 0.6667 0.3333 0.8554  8 Pr 3.34-3.60, 3 Sn 3.69, 3 Tl 3.73
Pr: 0.3333 0.6667 0.9756  3 Sn 3.20, 1 Tl 3.49, 3 Pr 3.55
Pr: 0.6667 0.3333 0.5896  1 Tl 3.12, 1 Pr 3.47
Pr: 0.6667 0.3333 0.1116  1 Tl 3.12, 1 Pr 3.34
Pr: 0.0000 0.0000 0.2627  3 Tl 3.39, 1 Sn 3.46, 3 Pr 3.75
Pr: 0.3333 0.6667 0.4378  4 Tl 3.39-3.52, 3 Pr 3.75
Tl: 0.3333 0.6667 0.7078  8 Pr 3.20-3.54
Tl: 0.6667 0.3333 0.3507  8 Pr 3.12-3.39
Sn: 0.0000 0.0000 0.9976  8 Pr 3.20-3.52

---

Pr7Tl4Sn: relaxed, PBE.

ΔH_f (0 K)	-3.30	eV per formula unit
space-group type	C2/m, No. 12
E	-4.1854	eV/atom
M_tot	0.00	μB/cell
DOS at the Fermi energy	10.83	states/eV/f.u.

Unit cell a=5.9687 b=8.8876 c=9.1153 alpha=61.74 beta=70.89 gamma=70.38
Closest atoms and distances in Å follow each position.
Fractional coordinates of all 12 atoms:
Tl: 0.7186 0.7555 0.8073  6 Pr 3.12-3.35
Tl: 0.4372 0.7123 0.4134  1 Tl 3.24, 6 Pr 3.36-3.51
Tl: 0.5628 0.2878 0.5866  1 Tl 3.24, 6 Pr 3.36-3.51
Tl: 0.2814 0.2445 0.1927  6 Pr 3.12-3.35
Pr: 0.9347 0.3982 0.7324  1 Sn 3.19, 3 Tl 3.31-3.51, 1 Pr 3.39
Pr: 0.5000 0.0000 0.0000  2 Sn 2.98, 2 Tl 3.12
Pr: 0.7219 0.3892 0.1671  4 Tl 3.19-3.36, 1 Pr 3.52
Pr: 0.0653 0.6018 0.2676  1 Sn 3.19, 3 Tl 3.31-3.51, 1 Pr 3.39
Pr: 0.8345 0.9315 0.3994  3 Tl 3.21-3.48, 1 Sn 3.25, 2 Pr 3.39-3.52
Pr: 0.2781 0.6108 0.8329  4 Tl 3.19-3.36, 1 Pr 3.52
Pr: 0.1655 0.0685 0.6006  3 Tl 3.21-3.48, 1 Sn 3.25, 2 Pr 3.39-3.52
Sn: 0.0000 0.0000 0.0000  6 Pr 2.98-3.25

---

Pr2TlSn9: relaxed, PBE.

ΔH_f (0 K)	-3.75	eV per formula unit
space-group type	P4/mmm, No. 123
E	-4.3083	eV/atom
M_tot	0.00	μB/cell
DOS at the Fermi energy	4.23	states/eV/f.u.

Unit cell a=4.7978 b=4.7978 c=14.5215 alpha=90.00 beta=90.00 gamma=90.00
Closest atoms and distances in Å follow each position.
Fractional coordinates of all 12 atoms:
Tl: 0.0000 0.0000 0.0000  12 Sn 3.39-3.41
Sn: 0.5000 0.5000 0.3315  8 Sn 3.39-3.43, 4 Pr 3.40
Sn: 0.0000 0.5000 0.5000  4 Pr 3.32, 8 Sn 3.39-3.43
Sn: 0.5000 0.0000 0.5000  4 Pr 3.32, 8 Sn 3.39-3.43
Sn: 0.5000 0.0000 0.1669  8 Sn 3.39-3.41, 2 Tl 3.41, 2 Pr 3.49
Sn: 0.5000 0.5000 0.6685  8 Sn 3.39-3.43, 4 Pr 3.40
Sn: 0.0000 0.5000 0.1669  8 Sn 3.39-3.41, 2 Tl 3.41, 2 Pr 3.49
Sn: 0.0000 0.5000 0.8331  8 Sn 3.39-3.41, 2 Tl 3.41, 2 Pr 3.49
Sn: 0.5000 0.0000 0.8331  8 Sn 3.39-3.41, 2 Tl 3.41, 2 Pr 3.49
Sn: 0.5000 0.5000 0.0000  4 Tl 3.39, 8 Sn 3.41
Pr: 0.0000 0.0000 0.3415  12 Sn 3.32-3.49
Pr: 0.0000 0.0000 0.6585  12 Sn 3.32-3.49

---

Pr6TlSn2: relaxed, PBE.

ΔH_f (0 K)	-4.19	eV per formula unit
space-group type	P-62m, No. 189
E	-4.8043	eV/atom
M_tot	0.37	μB/cell
DOS at the Fermi energy	12.73	states/eV/f.u.

Unit cell a=4.4231 b=8.7468 c=8.7471 alpha=120.00 beta=90.00 gamma=90.00
Closest atoms and distances in Å follow each position.
Fractional coordinates of all 9 atoms:
Pr: 0.0000 0.2728 0.0000  2 Sn 3.21, 2 Tl 3.25, 2 Pr 3.58
Pr: 0.5000 0.4053 0.4053  4 Sn 3.46, 1 Tl 3.55, 6 Pr 3.58-3.83
Pr: 0.5000 0.0000 0.5947  4 Sn 3.46, 1 Tl 3.55, 6 Pr 3.58-3.83
Pr: 0.0000 0.7272 0.7272  2 Sn 3.21, 2 Tl 3.25, 2 Pr 3.58
Pr: 0.5000 0.5948 0.0000  4 Sn 3.46, 1 Tl 3.54, 6 Pr 3.58-3.83
Pr: 0.0000 0.0000 0.2728  2 Sn 3.21, 2 Tl 3.25, 2 Pr 3.58
Tl: 0.5000 0.0000 0.0000  9 Pr 3.25-3.55
Sn: 0.0000 0.3333 0.6667  9 Pr 3.21-3.46
Sn: 0.0000 0.6667 0.3333  9 Pr 3.21-3.46

---

Pr7Tl2Sn2: relaxed, PBE.

ΔH_f (0 K)	-1.89	eV per formula unit
space-group type	Cmmm, No. 65
E	-4.3715	eV/atom
M_tot	0.00	μB/cell
DOS at the Fermi energy	12.07	states/eV/f.u.

Unit cell a=7.1757 b=7.9015 c=7.1757 alpha=90.00 beta=109.29 gamma=90.00
Closest atoms and distances in Å follow each position.
Fractional coordinates of all 11 atoms:
Pr: 0.5003 0.7037 0.9998  2 Tl 3.16, 1 Pr 3.22, 2 Sn 3.39-3.40
Pr: 0.0002 0.7037 0.4997  2 Tl 3.16, 1 Pr 3.22, 2 Sn 3.39-3.40
Pr: 0.9998 0.2963 0.5003  2 Tl 3.16, 1 Pr 3.22, 2 Sn 3.39-3.40
Pr: 0.4997 0.2963 0.0002  2 Tl 3.16, 1 Pr 3.22, 2 Sn 3.39-3.40
Pr: 0.0000 0.0000 0.0000  2 Tl 3.34
Pr: 0.4998 0.2586 0.5002  2 Tl 3.24, 2 Sn 3.30, 4 Pr 3.60
Pr: 0.5002 0.7414 0.4998  2 Tl 3.24, 2 Sn 3.30, 4 Pr 3.60
Sn: 0.1751 0.5000 0.1751  1 Sn 2.91
Sn: 0.8249 0.5000 0.8249  1 Sn 2.91
Tl: 0.7150 0.0000 0.2850  7 Pr 3.16-3.34
Tl: 0.2850 0.0000 0.7150  7 Pr 3.16-3.34